<1>
The following is a PBE calculation of crystalline LiMg3Al at its relaxed geometry, from Alexandria via LeMat-Bulk. Values from VASP.

Quantum ESPRESSO input file:
```
&SYSTEM
  ibrav = 0, nat = 5, ntyp = 3
/
ATOMIC_SPECIES
Li 6.94 Li.upf
Mg 24.30 Mg.upf
Al 26.98 Al.upf
ATOMIC_POSITIONS angstrom
Li 0.000 0.000 0.000
Mg 0.000 0.000 2.445
Mg 0.000 2.445 0.000
Mg 2.445 0.000 0.000
Al 2.445 2.445 2.445
CELL_PARAMETERS angstrom
4.890 0.000 0.000
0.000 4.890 0.000
0.000 0.000 4.890
```

Computed properties:
total magnetization = 0.00 μB per formula unit


<2>
The following is a PBE calculation of crystalline LiMg3Al at its relaxed geometry, from Alexandria via LeMat-Bulk. Values from VASP.

Quantum ESPRESSO input file:
```
&SYSTEM
  ibrav = 0, nat = 10, ntyp = 3
/
ATOMIC_SPECIES
Li 6.94 Li.upf
Mg 24.30 Mg.upf
Al 26.98 Al.upf
ATOMIC_POSITIONS angstrom
Li 2.280 6.723 3.430
Li 2.280 -6.723 1.143
Mg 2.280 8.616 1.143
Mg 2.280 4.847 1.143
Mg 2.280 1.131 1.143
Mg 2.280 -1.131 3.430
Mg 2.280 -4.847 3.430
Mg 2.280 -8.616 3.430
Al 2.280 2.995 3.430
Al 2.280 -2.995 1.143
CELL_PARAMETERS angstrom
2.280 -9.708 0.000
2.280 9.708 0.000
0.000 0.000 4.573
```

Computed properties:
total magnetization = 0.00 μB per formula unit


Of them, the most stable is <2> and the least stable is <1>.